## P
Entry from Alexandria: a relaxed Zr2GeSb2 crystal (PBE).

a b c (Å): 2.9935 2.9935 14.7724
angles (deg): 90.00 90.00 90.00
With the nearest neighbours (Å) after each atom.
Positions (direct):
1 Zr 0.0000 0.0000 0.1840  1 Ge 2.72, 4 Zr 2.99, 1 Sb 3.01
2 Zr 0.0000 0.0000 0.8160  1 Ge 2.72, 4 Zr 2.99, 1 Sb 3.01
3 Ge 0.0000 0.0000 0.0000  2 Zr 2.72, 4 Ge 2.99
4 Sb 0.0000 0.0000 0.3879  5 Sb 2.99-3.31, 1 Zr 3.01
5 Sb 0.0000 0.0000 0.6121  5 Sb 2.99-3.31, 1 Zr 3.01

Output
* symmetry: P4/mmm



## Q
Entry from Alexandria: a relaxed Zr2GeSb2 crystal (PBE).

a b c (Å): 7.9208 7.9208 3.7841
angles (deg): 90.00 90.00 90.00
With the nearest neighbours (Å) after each atom.
Positions (direct):
1 Zr 0.1440 0.3560 0.0000  6 Sb 2.98-3.00, 1 Zr 3.23
2 Zr 0.3560 0.8560 0.0000  6 Sb 2.98-3.00, 1 Zr 3.23
3 Zr 0.6440 0.1440 0.0000  6 Sb 2.98-3.00, 1 Zr 3.23
4 Zr 0.8560 0.6440 0.0000  6 Sb 2.98-3.00, 1 Zr 3.23
5 Ge 0.0000 0.0000 0.5000  4 Sb 3.02
6 Ge 0.5000 0.5000 0.5000  4 Sb 3.02
7 Sb 0.1499 0.6499 0.5000  6 Zr 2.98-3.00, 2 Ge 3.02
8 Sb 0.3501 0.1499 0.5000  6 Zr 2.98-3.00, 2 Ge 3.02
9 Sb 0.6499 0.8501 0.5000  6 Zr 2.98-3.00, 2 Ge 3.02
10 Sb 0.8501 0.3501 0.5000  6 Zr 2.98-3.00, 2 Ge 3.02

Output
* symmetry: P4/mbm



## R
Entry from Alexandria: a relaxed Zr2GeSb2 crystal (PBE).

a b c (Å): 7.5526 7.5526 4.0369
angles (deg): 90.00 90.00 90.00
With the nearest neighbours (Å) after each atom.
Positions (direct):
1 Zr 0.1549 0.3451 0.0000  2 Ge 2.86, 6 Sb 2.92-3.05
2 Zr 0.3451 0.8451 0.0000  2 Ge 2.86, 6 Sb 2.92-3.05
3 Zr 0.6549 0.1549 0.0000  2 Ge 2.86, 6 Sb 2.92-3.05
4 Zr 0.8451 0.6549 0.0000  2 Ge 2.86, 6 Sb 2.92-3.05
5 Ge 0.0000 0.0000 0.0000  4 Zr 2.86
6 Ge 0.5000 0.5000 0.0000  4 Zr 2.86
7 Sb 0.1476 0.6476 0.5000  6 Zr 2.92-3.05, 1 Sb 3.15
8 Sb 0.3524 0.1476 0.5000  6 Zr 2.92-3.05, 1 Sb 3.15
9 Sb 0.6476 0.8524 0.5000  6 Zr 2.92-3.05, 1 Sb 3.15
10 Sb 0.8524 0.3524 0.5000  6 Zr 2.92-3.05, 1 Sb 3.15

Output
* symmetry: P4/mbm



Least stable: P



## P
Entry from Alexandria: a relaxed Zr2GeSb crystal (PBE).

a b c (Å): 4.9278 4.9278 4.9278
angles (deg): 60.00 60.00 60.00
With the nearest neighbours (Å) after each atom.
Positions (direct):
1 Zr 0.2500 0.2500 0.2500  4 Ge 3.02, 4 Sb 3.02
2 Zr 0.7500 0.7500 0.7500  4 Ge 3.02, 4 Sb 3.02
3 Ge 0.0000 0.0000 0.0000  8 Zr 3.02
4 Sb 0.5000 0.5000 0.5000  8 Zr 3.02

Output
* symmetry: Fm-3m



## Q
Entry from Alexandria: a relaxed Zr2GeSb crystal (PBE).

a b c (Å): 7.0973 7.0973 7.0973
angles (deg): 32.42 32.42 32.42
With the nearest neighbours (Å) after each atom.
Positions (direct):
1 Zr 0.2408 0.2408 0.2408  3 Ge 2.73, 3 Sb 2.95
2 Zr 0.7592 0.7592 0.7592  3 Ge 2.73, 3 Sb 2.95
3 Ge 0.5000 0.5000 0.5000  6 Zr 2.73
4 Sb 0.0000 0.0000 0.0000  6 Zr 2.95

Output
* symmetry: R-3m



Least stable: P



## P
Entry from Alexandria: a relaxed Sc5Ge3 crystal (PBE).

a b c (Å): 7.9649 7.9649 5.8971
angles (deg): 90.00 90.00 120.00
With the nearest neighbours (Å) after each atom.
Positions (direct):
1 Sc 0.0000 0.2403 0.2500  3 Ge 2.74-2.91
2 Sc 0.0000 0.7597 0.7500  3 Ge 2.74-2.91
3 Sc 0.2403 0.0000 0.2500  3 Ge 2.74-2.91
4 Sc 0.2403 0.2403 0.7500  3 Ge 2.74-2.91
5 Sc 0.3333 0.6667 0.0000  6 Ge 2.86, 2 Sc 2.95
6 Sc 0.3333 0.6667 0.5000  6 Ge 2.86, 2 Sc 2.95
7 Sc 0.6667 0.3333 0.0000  6 Ge 2.86, 2 Sc 2.95
8 Sc 0.6667 0.3333 0.5000  6 Ge 2.86, 2 Sc 2.95
9 Sc 0.7597 0.0000 0.7500  3 Ge 2.74-2.91
10 Sc 0.7597 0.7597 0.2500  3 Ge 2.74-2.91
11 Ge 0.0000 0.3938 0.7500  7 Sc 2.74-2.91
12 Ge 0.0000 0.6062 0.2500  7 Sc 2.74-2.91
13 Ge 0.3938 0.0000 0.7500  7 Sc 2.74-2.91
14 Ge 0.3938 0.3938 0.2500  7 Sc 2.74-2.91
15 Ge 0.6062 0.0000 0.2500  7 Sc 2.74-2.91
16 Ge 0.6062 0.6062 0.7500  7 Sc 2.74-2.91

Output
* symmetry: P6_3/mcm



## Q
Entry from Alexandria: a relaxed Sc5Ge3 crystal (PBE).

a b c (Å): 8.0517 8.0517 8.0517
angles (deg): 126.66 126.66 78.81
With the nearest neighbours (Å) after each atom.
Positions (direct):
1 Sc 0.0000 0.0000 0.0000  6 Ge 2.79-3.11
2 Sc 0.0129 0.5129 0.8203  5 Ge 2.74-3.00
3 Sc 0.1926 0.0129 0.5000  5 Ge 2.74-3.00
4 Sc 0.3074 0.8074 0.8203  5 Ge 2.74-3.00
5 Sc 0.4871 0.3074 0.5000  5 Ge 2.74-3.00
6 Sc 0.5000 0.5000 0.0000  6 Ge 2.79-3.11
7 Sc 0.5129 0.6926 0.5000  5 Ge 2.74-3.00
8 Sc 0.6926 0.1926 0.1797  5 Ge 2.74-3.00
9 Sc 0.8074 0.9871 0.5000  5 Ge 2.74-3.00
10 Sc 0.9871 0.4871 0.1797  5 Ge 2.74-3.00
11 Ge 0.1407 0.3593 0.5000  8 Sc 2.74-2.85, 1 Ge 2.88
12 Ge 0.2500 0.2500 0.0000  10 Sc 3.00-3.11
13 Ge 0.3593 0.8593 0.2186  8 Sc 2.74-2.85, 1 Ge 2.88
14 Ge 0.6407 0.1407 0.7814  8 Sc 2.74-2.85, 1 Ge 2.88
15 Ge 0.7500 0.7500 0.0000  10 Sc 3.00-3.11
16 Ge 0.8593 0.6407 0.5000  8 Sc 2.74-2.85, 1 Ge 2.88

Output
* symmetry: I4/mcm



Least stable: Q



## P
Entry from Alexandria: a relaxed Sc5Ge4 crystal (PBE).

a b c (Å): 7.1422 13.7998 7.2641
angles (deg): 90.00 90.00 90.00
With the nearest neighbours (Å) after each atom.
Positions (direct):
1 Sc 0.0210 0.0980 0.1780  6 Ge 2.82-3.05
2 Sc 0.0210 0.4020 0.1780  6 Ge 2.82-3.05
3 Sc 0.1325 0.6215 0.3360  6 Ge 2.70-2.87
4 Sc 0.1325 0.8785 0.3360  6 Ge 2.70-2.87
5 Sc 0.2006 0.2500 0.5017  6 Ge 2.75-2.93
6 Sc 0.2994 0.7500 0.0017  6 Ge 2.75-2.93
7 Sc 0.3675 0.1215 0.8360  6 Ge 2.70-2.87
8 Sc 0.3675 0.3785 0.8360  6 Ge 2.70-2.87
9 Sc 0.4790 0.5980 0.6780  6 Ge 2.82-3.05
10 Sc 0.4790 0.9020 0.6780  6 Ge 2.82-3.05
11 Sc 0.5210 0.0980 0.3220  6 Ge 2.82-3.05
12 Sc 0.5210 0.4020 0.3220  6 Ge 2.82-3.05
13 Sc 0.6325 0.6215 0.1640  6 Ge 2.70-2.87
14 Sc 0.6325 0.8785 0.1640  6 Ge 2.70-2.87
15 Sc 0.7006 0.2500 0.9983  6 Ge 2.75-2.93
16 Sc 0.7994 0.7500 0.4983  6 Ge 2.75-2.93
17 Sc 0.8675 0.1215 0.6640  6 Ge 2.70-2.87
18 Sc 0.8675 0.3785 0.6640  6 Ge 2.70-2.87
19 Sc 0.9790 0.5980 0.8220  6 Ge 2.82-3.05
20 Sc 0.9790 0.9020 0.8220  6 Ge 2.82-3.05
21 Ge 0.0669 0.2500 0.8827  1 Ge 2.67, 6 Sc 2.75-2.93
22 Ge 0.1707 0.7500 0.6435  1 Ge 2.67, 6 Sc 2.76-2.87
23 Ge 0.2082 0.0417 0.5354  6 Sc 2.70-2.92
24 Ge 0.2082 0.4583 0.5354  6 Sc 2.70-2.92
25 Ge 0.2918 0.5417 0.0354  6 Sc 2.70-2.92
26 Ge 0.2918 0.9583 0.0354  6 Sc 2.70-2.92
27 Ge 0.3293 0.2500 0.1435  1 Ge 2.67, 6 Sc 2.76-2.87
28 Ge 0.4331 0.7500 0.3827  1 Ge 2.67, 6 Sc 2.75-2.93
29 Ge 0.5669 0.2500 0.6173  1 Ge 2.67, 6 Sc 2.75-2.93
30 Ge 0.6707 0.7500 0.8565  1 Ge 2.67, 6 Sc 2.76-2.87
31 Ge 0.7082 0.0417 0.9646  6 Sc 2.70-2.92
32 Ge 0.7082 0.4583 0.9646  6 Sc 2.70-2.92
33 Ge 0.7918 0.5417 0.4646  6 Sc 2.70-2.92
34 Ge 0.7918 0.9583 0.4646  6 Sc 2.70-2.92
35 Ge 0.8293 0.2500 0.3565  1 Ge 2.67, 6 Sc 2.76-2.87
36 Ge 0.9331 0.7500 0.1173  1 Ge 2.67, 6 Sc 2.75-2.93

Output
* symmetry: Pnma



## Q
Entry from Alexandria: a relaxed Sc5Ge4 crystal (PBE).

a b c (Å): 5.4679 5.4679 9.3273
angles (deg): 111.26 111.26 44.06
With the nearest neighbours (Å) after each atom.
Positions (direct):
1 Sc 0.0000 0.0000 0.0000  4 Ge 2.69
2 Sc 0.0934 0.0934 0.3894  5 Ge 2.74-2.89
3 Sc 0.2447 0.2447 0.8320  6 Ge 2.81-3.03
4 Sc 0.7553 0.7553 0.1680  6 Ge 2.81-3.03
5 Sc 0.9066 0.9066 0.6106  5 Ge 2.74-2.89
6 Ge 0.3643 0.3643 0.3898  2 Ge 2.62-2.72, 5 Sc 2.74-2.82
7 Ge 0.4539 0.4539 0.1616  1 Ge 2.62, 6 Sc 2.69-2.89
8 Ge 0.5461 0.5461 0.8384  1 Ge 2.62, 6 Sc 2.69-2.89
9 Ge 0.6357 0.6357 0.6102  2 Ge 2.62-2.72, 5 Sc 2.74-2.82

Output
* symmetry: C2/m



Least stable: Q



## P
Entry from Alexandria: a relaxed ScGe3Se crystal (PBE).

a b c (Å): 5.1870 5.1870 5.1870
angles (deg): 90.00 90.00 90.00
With the nearest neighbours (Å) after each atom.
Positions (direct):
1 Sc 0.0000 0.0000 0.0000  6 Ge 2.59
2 Ge 0.0000 0.0000 0.5000  2 Sc 2.59
3 Ge 0.0000 0.5000 0.0000  2 Sc 2.59
4 Ge 0.5000 0.0000 0.0000  2 Sc 2.59
5 Se 0.5000 0.5000 0.5000  12 Ge 3.67

Output
* symmetry: Pm-3m



## Q
Entry from Alexandria: a relaxed ScGe3Se crystal (PBE).

a b c (Å): 5.0381 5.0381 5.0381
angles (deg): 90.00 90.00 90.00
With the nearest neighbours (Å) after each atom.
Positions (direct):
1 Sc 0.0000 0.0000 0.0000  12 Ge 3.56
2 Ge 0.0000 0.5000 0.5000  2 Se 2.52
3 Ge 0.5000 0.0000 0.5000  2 Se 2.52
4 Ge 0.5000 0.5000 0.0000  2 Se 2.52
5 Se 0.5000 0.5000 0.5000  6 Ge 2.52

Output
* symmetry: Pm-3m



Least stable: P



## P
Entry from Alexandria: a relaxed Sc2GeSe crystal (PBE).

a b c (Å): 4.8239 4.8239 4.8239
angles (deg): 60.00 60.00 60.00
With the nearest neighbours (Å) after each atom.
Positions (direct):
1 Sc 0.2500 0.2500 0.2500  4 Se 2.95, 4 Ge 2.95
2 Sc 0.7500 0.7500 0.7500  4 Se 2.95, 4 Ge 2.95
3 Ge 0.0000 0.0000 0.0000  8 Sc 2.95
4 Se 0.5000 0.5000 0.5000  8 Sc 2.95

Output
* symmetry: Fm-3m



## Q
Entry from Alexandria: a relaxed Sc2GeSe crystal (PBE).

a b c (Å): 7.6368 7.6368 7.6368
angles (deg): 133.48 133.48 67.91
With the nearest neighbours (Å) after each atom.
Positions (direct):
1 Sc 0.1147 0.6250 0.9897  2 Ge 2.62, 2 Se 2.69
2 Sc 0.3750 0.3647 0.4897  2 Ge 2.62, 2 Se 2.69
3 Sc 0.6353 0.1250 0.0103  2 Ge 2.62, 2 Se 2.69
4 Sc 0.8750 0.8853 0.5103  2 Ge 2.62, 2 Se 2.69
5 Ge 0.0000 0.0000 0.0000  4 Sc 2.62
6 Ge 0.7500 0.2500 0.5000  4 Sc 2.62
7 Se 0.2500 0.7500 0.5000  4 Sc 2.69
8 Se 0.5000 0.5000 0.0000  4 Sc 2.69

Output
* symmetry: I-42d



## R
Entry from Alexandria: a relaxed Sc2GeSe crystal (PBE).

a b c (Å): 3.8573 5.4996 7.8878
angles (deg): 90.00 90.00 90.00
With the nearest neighbours (Å) after each atom.
Positions (direct):
1 Sc 0.2500 0.2500 0.1218  4 Ge 2.74-2.75, 2 Se 2.81
2 Sc 0.2500 0.2500 0.6376  2 Ge 2.69, 4 Se 2.75-2.80
3 Sc 0.7500 0.7500 0.3624  2 Ge 2.69, 4 Se 2.75-2.80
4 Sc 0.7500 0.7500 0.8782  4 Ge 2.74-2.75, 2 Se 2.81
5 Ge 0.2500 0.7500 0.1244  6 Sc 2.69-2.75
6 Ge 0.7500 0.2500 0.8756  6 Sc 2.69-2.75
7 Se 0.2500 0.7500 0.6193  6 Sc 2.75-2.81
8 Se 0.7500 0.2500 0.3807  6 Sc 2.75-2.81

Output
* symmetry: Pmmn



Least stable: Q



## P
Entry from Alexandria: a relaxed Sc2GeSe crystal (PBE).

a b c (Å): 6.8269 6.8269 6.8269
angles (deg): 32.98 32.98 32.98
With the nearest neighbours (Å) after each atom.
Positions (direct):
1 Sc 0.2461 0.2461 0.2461  3 Ge 2.71, 3 Se 2.80
2 Sc 0.7539 0.7539 0.7539  3 Ge 2.71, 3 Se 2.80
3 Ge 0.5000 0.5000 0.5000  6 Sc 2.71
4 Se 0.0000 0.0000 0.0000  6 Sc 2.80

Output
* symmetry: R-3m



## Q
Entry from Alexandria: a relaxed Sc2GeSe crystal (PBE).

a b c (Å): 7.9775 7.9775 7.9775
angles (deg): 30.40 30.40 30.40
With the nearest neighbours (Å) after each atom.
Positions (direct):
1 Sc 0.1080 0.1080 0.1080  1 Se 2.46
2 Sc 0.8920 0.8920 0.8920  1 Se 2.46
3 Ge 0.5000 0.5000 0.5000  6 Sc 2.76
4 Se 0.0000 0.0000 0.0000  2 Sc 2.46

Output
* symmetry: R-3m



## R
Entry from Alexandria: a relaxed Sc2GeSe crystal (PBE).

a b c (Å): 7.0230 7.0230 7.0230
angles (deg): 31.84 31.84 31.84
With the nearest neighbours (Å) after each atom.
Positions (direct):
1 Sc 0.0000 0.0000 0.0000  3 Ge 2.69, 3 Se 2.83
2 Sc 0.1791 0.1791 0.1791  3 Ge 2.72, 3 Se 2.88
3 Ge 0.5909 0.5909 0.5909  6 Sc 2.69-2.72
4 Se 0.4208 0.4208 0.4208  6 Sc 2.83-2.88

Output
* symmetry: R3m



Least stable: Q



## P
Entry from Alexandria: a relaxed Sc2Ge2Se crystal (PBE).

a b c (Å): 7.8403 7.8403 7.8403
angles (deg): 152.91 152.91 38.68
With the nearest neighbours (Å) after each atom.
Positions (direct):
1 Sc 0.1054 0.1054 0.0000  4 Ge 2.82, 4 Se 3.03, 1 Sc 3.12
2 Sc 0.8946 0.8946 0.0000  4 Ge 2.82, 4 Se 3.03, 1 Sc 3.12
3 Ge 0.2500 0.7500 0.5000  4 Ge 2.60, 4 Sc 2.82
4 Ge 0.7500 0.2500 0.5000  4 Ge 2.60, 4 Sc 2.82
5 Se 0.5000 0.5000 0.0000  8 Sc 3.03

Output
* symmetry: I4/mmm



## Q
Entry from Alexandria: a relaxed Sc2Ge2Se crystal (PBE).

a b c (Å): 7.2181 7.2181 3.9769
angles (deg): 90.00 90.00 90.00
With the nearest neighbours (Å) after each atom.
Positions (direct):
1 Sc 0.1808 0.3192 0.0000  2 Se 2.65, 2 Ge 2.85
2 Sc 0.3192 0.8192 0.0000  2 Se 2.65, 2 Ge 2.85
3 Sc 0.6808 0.1808 0.0000  2 Se 2.65, 2 Ge 2.85
4 Sc 0.8192 0.6808 0.0000  2 Se 2.65, 2 Ge 2.85
5 Ge 0.1186 0.6186 0.5000  1 Ge 2.42
6 Ge 0.3814 0.1186 0.5000  1 Ge 2.42
7 Ge 0.6186 0.8814 0.5000  1 Ge 2.42
8 Ge 0.8814 0.3814 0.5000  1 Ge 2.42
9 Se 0.0000 0.0000 0.0000  4 Sc 2.65
10 Se 0.5000 0.5000 0.0000  4 Sc 2.65

Output
* symmetry: P4/mbm



Least stable: P



## P
Entry from Alexandria: a relaxed ScSiGe crystal (PBE).

a b c (Å): 4.3724 4.3724 3.2885
angles (deg): 90.00 90.00 120.00
With the nearest neighbours (Å) after each atom.
Positions (direct):
1 Sc 0.0000 0.0000 0.0000  6 Ge 3.01, 6 Si 3.01, 2 Sc 3.29
2 Si 0.3333 0.6667 0.5000  3 Ge 2.52
3 Ge 0.6667 0.3333 0.5000  3 Si 2.52

Output
* symmetry: P-6m2



## Q
Entry from Alexandria: a relaxed ScSiGe crystal (PBE).

a b c (Å): 6.9594 5.5528 5.5403
angles (deg): 90.00 90.00 90.00
With the nearest neighbours (Å) after each atom.
Positions (direct):
1 Sc 0.1722 0.2500 0.1234  4 Si 2.76-2.78, 5 Ge 2.78-2.99
2 Sc 0.3278 0.7500 0.6234  4 Si 2.76-2.78, 5 Ge 2.78-2.99
3 Sc 0.6722 0.2500 0.3766  4 Si 2.76-2.78, 5 Ge 2.78-2.99
4 Sc 0.8278 0.7500 0.8766  4 Si 2.76-2.78, 5 Ge 2.78-2.99
5 Si 0.0000 0.0000 0.5000  4 Ge 2.73-2.77, 4 Sc 2.76-2.78, 2 Si 2.78
6 Si 0.0000 0.5000 0.5000  4 Ge 2.73-2.77, 4 Sc 2.76-2.78, 2 Si 2.78
7 Si 0.5000 0.0000 0.0000  4 Ge 2.73-2.77, 4 Sc 2.76-2.78, 2 Si 2.78
8 Si 0.5000 0.5000 0.0000  4 Ge 2.73-2.77, 4 Sc 2.76-2.78, 2 Si 2.78
9 Ge 0.1778 0.7500 0.1295  4 Si 2.73-2.77, 5 Sc 2.78-2.99
10 Ge 0.3222 0.2500 0.6295  4 Si 2.73-2.77, 5 Sc 2.78-2.99
11 Ge 0.6778 0.7500 0.3705  4 Si 2.73-2.77, 5 Sc 2.78-2.99
12 Ge 0.8222 0.2500 0.8705  4 Si 2.73-2.77, 5 Sc 2.78-2.99

Output
* symmetry: Pnma



Least stable: P



## P
Entry from Alexandria: a relaxed ScSiGe3 crystal (PBE).

a b c (Å): 5.0766 5.0766 5.0766
angles (deg): 90.00 90.00 90.00
With the nearest neighbours (Å) after each atom.
Positions (direct):
1 Sc 0.0000 0.0000 0.0000  6 Ge 2.54
2 Si 0.5000 0.5000 0.5000  12 Ge 3.59
3 Ge 0.0000 0.0000 0.5000  2 Sc 2.54
4 Ge 0.0000 0.5000 0.0000  2 Sc 2.54
5 Ge 0.5000 0.0000 0.0000  2 Sc 2.54

Output
* symmetry: Pm-3m



## Q
Entry from Alexandria: a relaxed ScSiGe3 crystal (PBE).

a b c (Å): 4.7741 4.7741 4.7741
angles (deg): 90.00 90.00 90.00
With the nearest neighbours (Å) after each atom.
Positions (direct):
1 Sc 0.0000 0.0000 0.0000  12 Ge 3.38
2 Si 0.5000 0.5000 0.5000  6 Ge 2.39
3 Ge 0.0000 0.5000 0.5000  2 Si 2.39
4 Ge 0.5000 0.0000 0.5000  2 Si 2.39
5 Ge 0.5000 0.5000 0.0000  2 Si 2.39

Output
* symmetry: Pm-3m



Least stable: P